The following is a DFT calculation (GGA-PBE) of a relaxed structure of NaHfTe2.

a b c (Å): 4.0073 7.1202 8.3711
angles (deg): 82.26 76.20 89.98
Fractional coordinates of all 8 atoms:
Na: 0.0019 0.2613 0.4994
Na: 0.9981 0.7387 0.5006
Hf: 0.2486 0.7160 0.0035
Hf: 0.7514 0.2840 0.9965
Te: 0.1543 0.0513 0.1927
Te: 0.3691 0.4551 0.7610
Te: 0.6309 0.5449 0.2390
Te: 0.8457 0.9487 0.8073

Values from the calculation:
Magnetization, μB/cell: 0.00
ΔE_f (raw), eV/atom: -0.7951
SG: P-1, No. 2
Crystal system: triclinic